Record 1
Below is an optimized crystal structure of PrThMg, with properties calculated at the PBE level.

Lattice parameters (Å, degrees): 7.485 7.485 7.485 90.00 90.00 90.00
Space group F-43m (No. 216)
Unique sites:
Pr1 0.000 0.000 0.000 (multiplicity 4)
Th1 0.000 0.000 0.500 (multiplicity 4)
Mg1 0.250 0.250 0.250 (multiplicity 4)

Values from the calculation:
E   -48.8 eV per cell
Energy above the most stable polymorph in this dataset   0 meV per atom

***

Record 2
Below is an optimized crystal structure of Nd2Sm2CCl5, with properties calculated at the PBE level.

Lattice parameters (Å, degrees): 17.607 3.834 8.008 90.00 104.61 90.00
Space group C2/m (No. 12)
Unique sites:
Nd1 0.147 0.000 0.086 (multiplicity 4)
Sm1 0.001 0.500 0.787 (multiplicity 4)
C1 0.000 0.000 0.000 (multiplicity 2)
Cl1 0.000 0.000 0.500 (multiplicity 2)
Cl2 0.162 0.500 0.350 (multiplicity 4)
Cl3 0.168 0.500 0.833 (multiplicity 4)

Values from the calculation:
E   -108.8 eV per cell

***

Record 3
Below is an optimized crystal structure of BaNdZnSe3, with properties calculated at the PBE level.

Lattice parameters (Å, degrees): 4.425 14.074 11.104 90.00 90.00 90.00
Space group Cmcm (No. 63)
Unique sites:
Ba1 0.000 0.249 0.250 (multiplicity 4)
Nd1 0.000 0.000 0.000 (multiplicity 4)
Zn1 0.000 0.478 0.750 (multiplicity 4)
Se1 0.000 0.071 0.750 (multiplicity 4)
Se2 0.000 0.364 0.573 (multiplicity 8)

Values from the calculation:
E   -108.4 eV per cell

***

Record 4
Below is an optimized crystal structure of KLuSO, with properties calculated at the PBE level.

Lattice parameters (Å, degrees): 4.277 7.950 6.336 90.00 90.00 90.00
Space group Pmc2_1 (No. 26)
Unique sites:
K1 0.000 0.195 0.000 (multiplicity 2)
Lu1 0.500 0.374 0.432 (multiplicity 2)
S1 0.000 0.203 0.510 (multiplicity 2)
O1 0.500 0.411 0.111 (multiplicity 2)

Values from the calculation:
E   -47.5 eV per cell
Energy above the most stable polymorph in this dataset   91 meV per atom

***

Record 5
Below is an optimized crystal structure of LuSiH2O4, with properties calculated at the PBE level.

Lattice parameters (Å, degrees): 4.787 6.432 11.231 90.00 105.43 90.00
Space group P2_1/c (No. 14)
Unique sites:
Lu1 0.009 0.244 0.328 (multiplicity 4)
Si1 0.267 0.232 0.102 (multiplicity 4)
H1 0.358 0.740 0.503 (multiplicity 4)
H2 0.463 0.015 0.744 (multiplicity 4)
O1 0.064 0.744 0.992 (multiplicity 4)
O2 0.211 0.043 0.202 (multiplicity 4)
O3 0.250 0.054 0.701 (multiplicity 4)
O4 0.410 0.234 0.976 (multiplicity 4)

Values from the calculation:
E   -210.6 eV per cell
Energy above the most stable polymorph in this dataset   0 meV per atom

***

Record 6
Below is an optimized crystal structure of ZnSiAg2, with properties calculated at the PBE level.

Lattice parameters (Å, degrees): 6.474 6.474 6.474 90.00 90.00 90.00
Space group F-43m (No. 216)
Unique sites:
Zn1 0.000 0.000 0.000 (multiplicity 4)
Si1 0.250 0.250 0.750 (multiplicity 4)
Ag1 0.000 0.000 0.500 (multiplicity 4)
Ag2 0.250 0.250 0.250 (multiplicity 4)

Values from the calculation:
E   -45.3 eV per cell